Entry 1:
Material: Rb3HI2
Method: DFT, GGA-PBE
State: relaxed

abc: 4.8820 7.2513 15.1837
angles: 90.00 90.00 90.00
Last column: nearest neighbours and their distance in Å.
Space group Immm (No. 71)
Asymmetric unit:
Rb (0.0000, 0.0000, 0.0000)  4 I 3.59, 2 H 3.63
Rb (0.0000, 0.0000, 0.3607)  2 H 3.23
H (0.0000, 0.5000, 0.0000)  4 Rb 3.23
I (0.0000, 0.5000, 0.3263)  6 Rb 3.59-3.74

Polymorph energy (0 for the lowest one), meV/atom: 5
VASP energy, eV per atom: -2.57
Magnetic moment, μB/atom: 0.007

Entry 2:
Material: RbHI
Method: DFT, GGA-PBE
State: relaxed

abc: 8.6526 6.5662 6.5602
angles: 90.00 90.00 90.00
Last column: nearest neighbours and their distance in Å.
Space group Pna2_1 (No. 33)
Asymmetric unit:
Rb (0.0006, 0.2505, 0.0000)  4 H 3.13-3.22
H (0.2445, 0.5029, 0.7499)  2 I 2.32
I (0.2501, 0.2526, 0.4999)  2 H 2.32

Polymorph energy (0 for the lowest one), meV/atom: 570
VASP energy, eV per atom: -2.37
Magnetic moment, μB/atom: 0.000

Entry 3:
Material: RbH5I4
Method: DFT, GGA-PBE
State: relaxed

abc: 9.1113 10.3681 5.8502
angles: 90.00 90.00 90.00
Last column: nearest neighbours and their distance in Å.
Space group Pmmn (No. 59, origin choice 2)
Asymmetric unit:
Rb (0.2500, 0.2500, 0.2495)  8 I 3.87-3.93, 12 H 4.05-4.11
H (0.0402, 0.0529, 0.7499)  2 I 1.97-2.16
H (0.2500, 0.7500, 0.2490)  2 I 1.94
I (0.0374, 0.7500, 0.2497)  3 H 1.94-2.16
I (0.2500, 0.0059, 0.7497)  2 H 1.97

VASP energy, eV per atom: -2.28
Magnetic moment, μB/atom: 0.000

Entry 4:
Material: RbH2I2
Method: DFT, GGA-PBE
State: relaxed

abc: 11.8045 5.6534 10.9512
angles: 90.00 118.65 90.00
Last column: nearest neighbours and their distance in Å.
Space group C2/c (No. 15)
Asymmetric unit:
Rb (0.0000, 0.0864, 0.2500)  4 H 3.57-3.67, 8 I 3.78-3.87
H (0.0344, 0.4792, 0.0143)  1 H 0.76
I (0.2483, 0.4243, 0.8767)  3 H 3.20-3.58, 1 I 3.33

Polymorph energy (0 for the lowest one), meV/atom: 0
VASP energy, eV per atom: -2.67
Magnetic moment, μB/atom: 0.198

Entry 5:
Material: Rb3H4I4
Method: DFT, GGA-PBE
State: relaxed

abc: 6.3910 7.0261 18.8698
angles: 90.00 90.00 90.00
Last column: nearest neighbours and their distance in Å.
Space group Immm (No. 71)
Asymmetric unit:
Rb (0.0000, 0.0000, 0.0000)  6 I 3.69-3.82, 4 H 4.08
Rb (0.0000, 0.5000, 0.1921)  2 H 2.88
H (0.0592, 0.5000, 0.3434)  1 H 0.76
I (0.0000, 0.0000, 0.2023)  2 H 2.95
I (0.0000, 0.2374, 0.5000)  2 I 3.34-3.69, 4 H 3.50, 2 Rb 3.69

VASP energy, eV per atom: -2.79
Magnetic moment, μB/atom: 0.000

Entry 6:
Material: Rb5H4I
Method: DFT, GGA-PBE
State: relaxed

abc: 14.3395 4.4005 11.7351
angles: 90.00 116.65 90.00
Last column: nearest neighbours and their distance in Å.
Space group C2/m (No. 12)
Asymmetric unit:
Rb (0.0000, 0.0000, 0.0000)  6 H 2.89-3.08
Rb (0.1004, 0.5000, 0.3380)  3 H 2.89-3.04
Rb (0.2098, 0.0000, 0.8278)  5 H 3.07-3.08
H (0.1012, 0.5000, 0.9083)  6 Rb 3.04-3.08
H (0.1791, 0.0000, 0.2472)  5 Rb 2.89-3.07
I (0.0000, 0.0000, 0.5000)  6 Rb 3.60-3.67

VASP energy, eV per atom: -2.38
Magnetic moment, μB/atom: 0.000

Entry 7:
Material: RbH3I
Method: DFT, GGA-PBE
State: relaxed

abc: 4.6029 4.6029 4.6029
angles: 90.00 90.00 90.00
Last column: nearest neighbours and their distance in Å.
Space group Pm-3m (No. 221)
Asymmetric unit:
Rb (0.0000, 0.0000, 0.0000)  12 H 3.25
H (0.0000, 0.5000, 0.5000)  2 I 2.30
I (0.5000, 0.5000, 0.5000)  6 H 2.30

Polymorph energy (0 for the lowest one), meV/atom: 567
VASP energy, eV per atom: -2.06
Magnetic moment, μB/atom: 0.000

Entry 8:
Material: Rb6HI5
Method: DFT, GGA-PBE
State: relaxed

abc: 8.9807 15.5090 8.9301
angles: 90.00 109.66 90.00
Last column: nearest neighbours and their distance in Å.
Space group C2/m (No. 12)
Asymmetric unit:
Rb (0.2278, 0.0000, 0.2636)  1 H 3.40, 4 I 3.68-3.69
Rb (0.2331, 0.1546, 0.7358)  1 H 3.41, 4 I 3.64-3.69
H (0.0000, 0.0000, 0.5000)  6 Rb 3.40-3.41
I (0.0000, 0.1718, 0.0000)  6 Rb 3.65-3.84
I (0.0000, 0.3343, 0.5000)  6 Rb 3.68-3.69
I (0.0000, 0.5000, 0.0000)  6 Rb 3.64-3.92

VASP energy, eV per atom: -2.66
Magnetic moment, μB/atom: 0.005